PBE Li4Pa3Te8, relaxed; DFT total energy = -73.56 eV/cell; magnetic moment = 2.51 μB per formula unit; formation energy (no corrections) = -0.8192 eV per atom
1.0
-7.8924 -2.9302 1.9971
5.7306 -5.0704 -4.0453
5.8708 1.5182 6.1759
Li Pa Te
4 3 8
Direct
0.5000 0.0000 0.0000
0.0000 0.5000 0.0000
0.0000 0.0000 0.0000
0.0000 0.0000 0.5000
0.5000 0.5000 0.0000
0.5000 0.0000 0.5000
0.5000 0.5000 0.5000
0.5184 0.2558 0.2558
0.0000 0.7500 0.2500
0.0102 0.2468 0.2468
0.5000 0.7568 0.2432
0.5000 0.2432 0.7568
0.9898 0.7532 0.7532
0.0000 0.2500 0.7500
0.4816 0.7442 0.7442

***

PBE PmPaCuTc, relaxed; DFT total energy = -28.53 eV/cell; magnetic moment = 0.00 μB per formula unit
1.0
-4.6006 -1.4402 0.9927
-1.6490 -4.3145 -1.7002
-0.7938 -3.7301 3.1115
Pa Tc Cu Pm
1 1 1 1
Direct
0.0000 0.0000 0.0000
0.2500 0.2500 0.2500
0.7500 0.7500 0.7500
0.5000 0.5000 0.5000